1.
First-principles (SCAN) data for Be3GeMo at its PBEsol-relaxed geometry, as listed in the Alexandria database.

POSCAR file:
```
Be3GeMo
1.0
4.2952 0.0000 0.0000
0.0000 4.2952 0.0000
0.0000 0.0000 4.2952
Be Ge Mo
3 1 1
direct
0.0000 0.0000 0.5000
0.0000 0.5000 0.0000
0.5000 0.0000 0.0000
0.5000 0.5000 0.5000
0.0000 0.0000 0.0000
```

## Properties
The calculation puts the spin magnetization at 0.00 Bohr magnetons per cell.

2.
First-principles (SCAN) data for Be3GeMo at its PBEsol-relaxed geometry, as listed in the Alexandria database.

POSCAR file:
```
Be3GeMo
1.0
4.0535 0.0000 0.0000
0.0000 4.0535 0.0000
0.0000 0.0000 4.0535
Be Ge Mo
3 1 1
direct
0.0000 0.0000 0.5000
0.0000 0.5000 0.0000
0.5000 0.0000 0.0000
0.0000 0.0000 0.0000
0.5000 0.5000 0.5000
```

## Properties
The calculation puts the spin magnetization at 1.95 Bohr magnetons per cell.

3.
First-principles (SCAN) data for BeGeMo3 at its PBEsol-relaxed geometry, as listed in the Alexandria database.

POSCAR file:
```
BeGeMo3
1.0
4.5282 0.0000 0.0000
0.0000 4.5282 0.0000
0.0000 0.0000 4.5282
Be Ge Mo
1 1 3
direct
0.0000 0.0000 0.0000
0.5000 0.5000 0.5000
0.0000 0.5000 0.5000
0.5000 0.0000 0.5000
0.5000 0.5000 0.0000
```

## Properties
The calculation puts the spin magnetization at 0.00 Bohr magnetons per cell.

no.,calculated formation energy (eV/atom)
1,1.353
2,1.217
3,1.657